Density functional theory data (PBE) for an optimized crystal structure of BiHBr2.

Summary:
Raw total energy ... -37.07 eV/cell
Magnetic moment ... 0.00 μB/f.u.
Excess energy over the best structure of this formula in the dataset ... 0.0303 eV/atom

Lattice parameters (Å, degrees): 6.197 6.197 10.150 90.00 90.00 90.00
Positions (direct):
Bi  0.000  0.000  0.000
Bi  0.000  0.500  0.250
Bi  0.500  0.000  0.750
Bi  0.500  0.500  0.500
H  0.000  0.000  0.500
H  0.000  0.500  0.750
H  0.500  0.000  0.250
H  0.500  0.500  0.000
Br  0.120  0.250  0.625
Br  0.250  0.620  0.875
Br  0.250  0.880  0.375
Br  0.380  0.250  0.125
Br  0.620  0.750  0.125
Br  0.750  0.120  0.375
Br  0.750  0.380  0.875
Br  0.880  0.750  0.625